KTa, optimized geometry, DFT GGA-PBE; relative energy among the computed polymorphs = 1.126 eV per atom; symmetry = Fd-3m; calculated volume = 25.39 Å³/atom; total DFT energy (no corrections) = -4.61 eV per atom; DFT formation energy = 3.7 eV/f.u.; M_tot = 1.129 μB per cell
1.0
-2.670 1.967 4.053
0.525 -2.121 4.759
2.518 2.619 3.771
K Ta
2 2
Direct
0.000 0.000 0.000
0.250 0.250 0.250
0.500 0.500 0.500
0.750 0.750 0.750